[1]
ZrNiP | Alexandria via LeMat-Bulk | PBE | optimized geometry; V = 92.19 Å³/cell; energy relative to the elements = -0.5956 eV/atom; electronic total energy = -7.175 eV per atom
1.0
2.261 -3.916 0.000
2.261 3.916 0.000
0.000 0.000 5.207
Zr Ni P
2 2 2
Cartesian
2.261 -1.305 1.302
2.261 1.305 3.905
0.000 0.000 0.000
0.000 0.000 2.603
2.261 -1.305 3.905
2.261 1.305 1.302

=====

[2]
ZrNiP | Alexandria via LeMat-Bulk | PBE | optimized geometry; V = 49.65 Å³/cell; energy relative to the elements = -0.6220 eV/atom; electronic total energy = -7.202 eV per atom
1.0
3.580 1.574 1.313
0.027 2.889 2.945
1.395 -0.914 3.773
Zr Ni P
1 1 1
Cartesian
0.000 0.000 0.000
2.501 1.774 4.015
1.251 0.887 2.008

=====

[3]
ZrNiP | Alexandria via LeMat-Bulk | PBE | optimized geometry; V = 130.17 Å³/cell; energy relative to the elements = -1.0410 eV/atom; electronic total energy = -7.621 eV per atom
1.0
-4.513 1.878 3.996
-1.262 -4.405 -4.343
1.031 -2.692 2.430
Zr Ni P
3 3 3
Cartesian
-2.153 -0.235 3.578
-0.231 -3.951 -1.353
-1.845 -2.379 1.073
-1.137 0.473 1.007
-0.318 -1.110 -1.095
-4.320 -1.890 -0.260
0.516 -1.346 1.215
-2.346 -2.310 -1.564
-3.430 -0.216 1.216

=====

[4]
Zr3Ni20P6 | Alexandria via LeMat-Bulk | PBE | optimized geometry; V = 351.69 Å³/cell; energy relative to the elements = -0.5729 eV/atom; electronic total energy = -6.564 eV per atom
1.0
6.862 0.000 3.962
2.287 6.469 3.962
0.000 0.000 7.923
Zr Ni P
3 20 6
Cartesian
6.862 4.852 11.885
2.287 1.617 3.962
0.000 0.000 0.000
3.524 2.492 9.742
2.474 3.977 7.923
4.454 0.000 2.571
5.256 2.270 3.962
0.000 0.000 5.143
4.574 5.462 7.923
0.803 2.270 6.533
4.454 0.000 5.352
1.485 4.199 2.571
0.000 0.000 2.780
2.408 0.000 6.533
0.803 2.270 1.390
3.892 4.199 3.962
2.408 0.000 1.390
3.524 2.492 6.104
5.625 3.977 6.104
5.625 3.977 9.742
4.574 1.007 7.923
6.675 2.492 7.923
1.485 4.199 5.352
3.482 4.780 9.816
5.667 1.689 6.030
2.389 1.689 7.923
5.667 1.689 9.816
3.482 4.780 6.030
6.760 4.780 7.923

=====

[5]
Zr3NiP2 | Alexandria via LeMat-Bulk | PBE | optimized geometry; V = 406.90 Å³/cell; energy relative to the elements = -1.1289 eV/atom; electronic total energy = -8.170 eV per atom
1.0
3.692 0.000 0.000
0.000 10.446 0.000
0.000 0.000 10.550
Zr Ni P
12 4 8
Cartesian
0.923 3.955 0.547
2.769 6.491 10.003
2.769 9.178 4.728
0.923 1.268 5.822
0.923 7.343 2.151
2.769 3.103 8.398
2.769 2.120 3.123
0.923 8.326 7.426
0.923 4.526 3.991
2.769 5.920 6.559
2.769 9.749 1.284
0.923 0.697 9.266
0.923 1.283 1.363
2.769 9.163 9.187
2.769 6.506 3.912
0.923 3.940 6.638
0.923 7.176 4.965
2.769 3.271 5.585
2.769 1.953 0.310
0.923 8.494 10.240
0.923 0.042 3.269
2.769 10.404 7.280
2.769 5.265 2.006
0.923 5.181 8.544

=====

[6]
ZrNiP | Alexandria via LeMat-Bulk | PBE | optimized geometry; V = 55.09 Å³/cell; energy relative to the elements = -0.2869 eV/atom; electronic total energy = -6.867 eV per atom
1.0
0.000 3.020 3.020
3.020 0.000 3.020
3.020 3.020 0.000
Zr Ni P
1 1 1
Cartesian
1.510 1.510 1.510
0.000 0.000 0.000
3.020 3.020 3.020

=====

[7]
Zr2Ni2P | Alexandria via LeMat-Bulk | PBE | optimized geometry; V = 163.24 Å³/cell; energy relative to the elements = -0.6888 eV/atom; electronic total energy = -7.503 eV per atom
1.0
-1.495 3.075 1.527
0.163 -3.180 1.971
12.081 3.536 4.709
Zr Ni P
4 4 2
Cartesian
0.986 -0.692 2.360
6.474 3.161 4.566
9.762 4.123 5.848
4.274 0.270 3.641
0.000 0.000 0.000
6.040 1.768 2.355
2.077 1.874 2.852
8.671 1.557 5.355
3.020 0.884 1.177
9.061 2.652 3.532

=====

[8]
Zr2Ni2P | Alexandria via LeMat-Bulk | PBE | optimized geometry; V = 156.53 Å³/cell; energy relative to the elements = -0.5748 eV/atom; electronic total energy = -7.389 eV per atom
1.0
-3.216 2.359 -5.080
-3.655 -5.322 -0.158
-2.466 1.625 2.315
Ni Zr P
4 4 2
Cartesian
-4.356 -3.751 -2.006
-5.101 -1.317 -4.509
-2.515 0.788 -3.232
-1.770 -1.647 -0.729
-4.256 -2.364 0.168
-6.420 -1.994 -2.396
-5.081 1.026 -3.090
-2.917 0.656 -0.526
0.000 0.000 0.000
-3.435 -1.482 -2.619

=====

[9]
ZrNi3P2 | Alexandria via LeMat-Bulk | PBE | optimized geometry; V = 230.65 Å³/cell; energy relative to the elements = -0.8560 eV/atom; electronic total energy = -6.975 eV per atom
1.0
3.618 0.000 0.000
-1.809 7.035 -2.168
0.000 0.189 9.003
Zr Ni P
3 9 6
Cartesian
0.000 2.270 5.642
1.809 4.955 1.193
0.000 0.000 0.000
0.000 0.644 2.854
1.809 6.580 3.981
0.000 3.139 2.596
1.809 4.086 4.239
1.809 1.829 1.333
0.000 5.396 5.502
1.809 0.095 4.501
0.000 4.538 -1.113
1.809 2.687 7.948
0.000 2.817 0.351
1.809 4.407 6.484
0.000 6.569 -0.138
1.809 0.655 6.973
0.000 5.173 3.303
1.809 2.052 3.532

=====

[10]
PaNi7 | Alexandria via LeMat-Bulk | PBE | optimized geometry; V = 99.98 Å³/cell; energy relative to the elements = -0.2095 eV/atom; electronic total energy = -6.455 eV per atom
1.0
4.234 0.000 0.000
0.000 4.522 -2.611
0.000 0.000 5.222
Pa Ni
1 7
Cartesian
0.000 0.000 0.000
0.000 0.020 2.611
0.000 2.251 3.899
0.000 2.251 1.323
2.117 3.726 -1.232
2.117 3.726 1.232
2.117 1.592 0.000
2.117 1.507 2.611

=====

[11]
Pa3Ni4 | Alexandria via LeMat-Bulk | PBE | optimized geometry; V = 248.71 Å³/cell; energy relative to the elements = -0.3473 eV/atom; electronic total energy = -7.721 eV per atom
1.0
3.563 0.000 0.000
-1.782 5.144 0.000
0.000 0.000 13.570
Pa Ni
6 8
Cartesian
1.782 1.744 1.287
0.000 3.425 12.292
1.782 1.743 5.507
0.000 3.423 8.072
1.782 4.709 3.397
0.000 0.457 10.183
0.000 2.369 3.396
1.782 2.795 10.182
0.000 3.966 1.426
0.000 0.014 0.005
0.000 3.964 5.369
1.782 1.204 12.156
0.000 0.013 6.789
1.782 1.202 8.209

=====

[12]
Pa2Ni17 | Alexandria via LeMat-Bulk | PBE | optimized geometry; V = 236.64 Å³/cell; energy relative to the elements = -0.2410 eV/atom; electronic total energy = -6.413 eV per atom
1.0
-0.690 3.385 -5.186
3.610 -3.485 -3.695
-4.551 -3.403 -2.556
Pa Ni
2 17
Cartesian
-0.545 -1.170 -3.822
-1.085 -2.332 -7.615
1.190 -0.598 -6.188
-0.721 -3.958 -4.887
-1.465 -3.147 -10.277
-0.165 -0.355 -1.159
-2.275 -1.702 -1.278
1.805 -1.742 -1.847
-0.345 1.693 -2.593
2.320 -1.422 -4.142
-1.849 1.347 -4.396
-2.101 -3.428 -2.898
0.601 1.323 -4.738
-3.392 -1.365 -3.346
1.160 -3.460 -3.353
-0.909 0.456 -6.549
-2.820 -2.904 -5.248
1.220 -2.944 -5.811
-2.850 -0.558 -5.625